A relaxed Sc2CoPb crystal. Source: the Alexandria database, functional PBE-GGA.

```
data_Sc2CoPb
_chemical_formula_sum 'Sc2 Co1 Pb1'
_symmetry_space_group_name_H-M 'P 1'
_symmetry_Int_Tables_number 1
_symmetry_space_group_name_Hall 'P 1'
_cell_length_a 4.2892
_cell_length_b 3.4440
_cell_length_c 5.8088
_cell_angle_alpha 72.76
_cell_angle_beta 90.00
_cell_angle_gamma 90.00
loop_
_atom_site_label
_atom_site_type_symbol
_atom_site_fract_x
_atom_site_fract_y
_atom_site_fract_z
Co1 Co 0.0000 0.7231 0.4288
Pb1 Pb 0.5000 0.5559 0.7633
Sc1 Sc 0.0000 0.9450 0.9849
Sc2 Sc 0.5000 0.2760 0.3230
```

Output
- volume (Å³/cell) = 81.95
- DFT total energy (eV per atom) = -6.0869